DFT (PBE) results for a geometry-optimized LiCu2H6Rh structure.

a b c (Å): 4.788 4.671 5.216
angles (deg): 88.15 120.89 122.52
Fractional coordinates of all 10 atoms:
Li: 0.031 0.522 0.636
Cu: 0.601 0.806 0.267
Cu: 0.653 0.312 0.964
H: 0.529 0.948 0.699
H: 0.444 0.079 0.161
H: 0.893 0.779 0.191
H: 0.142 0.390 0.130
H: 0.669 0.551 0.690
H: 0.056 0.114 0.650
Rh: 0.948 0.976 0.914

Calculated values
Its space group is No. 1. For the uncorrected energy, the calculation gives -3.856 eV/atom.

=====

DFT (PBE) results for a geometry-optimized HfAgTeRu2 structure.

a b c (Å): 4.788 5.207 4.788
angles (deg): 90.00 90.00 90.00
Fractional coordinates of all 5 atoms:
Ru: 0.000 0.000 0.500
Ru: 0.500 0.000 0.000
Te: 0.500 0.500 0.500
Hf: 0.000 0.000 0.000
Ag: 0.000 0.500 0.000

Calculated values
Its space group is No. 123. The value obtained for the raw formation energy is 1.211 eV/atom. As for the excess energy over the best structure of this formula in the dataset: 0 meV per atom.

=====

DFT (PBE) results for a geometry-optimized Pm2SbAs structure.

a b c (Å): 4.321 4.321 7.814
angles (deg): 73.95 73.95 60.00
Fractional coordinates of all 4 atoms:
Pm: 0.076 0.076 0.772
Pm: 0.257 0.257 0.229
Sb: 0.499 0.499 0.503
As: 0.668 0.668 0.996

Calculated values
Its space group is No. 160. The value obtained for the raw formation energy is -1.236 eV/atom. As for the excess energy over the best structure of this formula in the dataset: 106 meV per atom.

=====

DFT (PBE) results for a geometry-optimized Pm4ErTh3Se8 structure.

a b c (Å): 8.333 8.390 8.331
angles (deg): 119.77 120.01 90.00
Fractional coordinates of all 16 atoms:
Pm: 0.500 0.000 0.000
Pm: 0.500 0.000 0.500
Pm: 0.000 0.000 0.000
Pm: 0.000 0.000 0.500
Er: 0.000 0.500 0.000
Th: 0.500 0.500 0.000
Th: 0.500 0.500 0.500
Th: 0.000 0.500 0.500
Se: 0.245 0.747 0.002
Se: 0.245 0.747 0.490
Se: 0.249 0.246 0.497
Se: 0.757 0.747 0.002
Se: 0.243 0.253 0.998
Se: 0.751 0.754 0.503
Se: 0.755 0.253 0.510
Se: 0.755 0.253 0.998

Calculated values
Its space group is No. 166. The value obtained for the raw formation energy is -1.697 eV/atom.

=====

DFT (PBE) results for a geometry-optimized BaCaMg2I8 structure.

a b c (Å): 7.562 7.246 9.160
angles (deg): 90.00 90.00 89.12
Fractional coordinates of all 12 atoms:
Ba: 0.000 0.000 0.500
Ca: 0.000 0.000 0.000
Mg: 0.500 0.500 0.756
Mg: 0.500 0.500 0.244
I: 0.177 0.738 0.230
I: 0.653 0.726 0.000
I: 0.823 0.262 0.230
I: 0.823 0.262 0.770
I: 0.347 0.274 0.000
I: 0.177 0.738 0.770
I: 0.637 0.715 0.500
I: 0.363 0.285 0.500

Calculated values
Its space group is No. 10. The value obtained for the raw formation energy is -1.281 eV/atom.

=====

DFT (PBE) results for a geometry-optimized AlFe2Ni6 structure.

a b c (Å): 4.126 6.874 5.472
angles (deg): 128.90 111.90 90.00
Fractional coordinates of all 9 atoms:
Al: 0.000 0.000 0.000
Fe: 0.662 0.661 0.322
Fe: 0.338 0.339 0.678
Ni: 0.167 0.480 0.334
Ni: 0.833 0.146 0.666
Ni: 0.833 0.520 0.666
Ni: 0.500 0.189 0.000
Ni: 0.167 0.854 0.334
Ni: 0.500 0.811 0.000

Calculated values
Its space group is No. 12. As for the excess energy over the best structure of this formula in the dataset: 91 meV per atom. The calculation puts the energy of formation at -29 kJ/mol of formula units.

=====

Magnetization (computed, μB/atom): 0.0000; 0.3110; 0.0000; 0.0000; 0.0000; 0.8602